# 1
Pr3MgPt8, relaxed, DFT PBE; energy of formation from the pure elements = -0.977 eV per atom
1.0
2.745 1.585 8.963
-2.745 1.585 8.963
0.000 -3.170 8.963
Pr Mg Pt
3 1 8
Direct
0.000 0.000 0.000
0.128 0.128 0.128
0.512 0.512 0.512
0.636 0.636 0.636
0.066 0.567 0.567
0.068 0.068 0.566
0.068 0.566 0.068
0.317 0.317 0.317
0.566 0.068 0.068
0.567 0.066 0.567
0.567 0.567 0.066
0.817 0.817 0.817


# 2
Pr3Mg7Pt4, relaxed, DFT PBE; energy of formation from the pure elements = -0.713 eV per atom
1.0
8.188 -2.176 0.000
8.188 2.176 0.000
-5.909 0.000 8.717
Pr Mg Pt
3 7 4
Direct
0.000 0.000 0.000
0.305 0.305 0.289
0.695 0.695 0.711
0.000 0.000 0.500
0.169 0.169 0.430
0.320 0.320 0.986
0.487 0.487 0.705
0.513 0.513 0.295
0.680 0.680 0.014
0.831 0.831 0.570
0.110 0.110 0.821
0.336 0.336 0.738
0.664 0.664 0.262
0.890 0.890 0.179


# 3
PrMgPtRh, relaxed, DFT PBE; energy of formation from the pure elements = -0.672 eV per atom
1.0
0.000 3.416 3.416
3.416 0.000 3.416
3.416 3.416 0.000
Pr Mg Pt Rh
1 1 1 1
Direct
0.000 0.000 0.000
0.500 0.500 0.500
0.250 0.250 0.250
0.750 0.750 0.750


# 4
Pr2MgPt5Rh2, relaxed, DFT PBE; energy of formation from the pure elements = -0.687 eV per atom
1.0
9.503 0.000 0.000
0.000 9.503 0.000
0.000 0.000 4.182
Pr Mg Pt Rh
4 2 10 4
Direct
0.171 0.329 0.000
0.329 0.829 0.000
0.671 0.171 0.000
0.829 0.671 0.000
0.000 0.000 0.000
0.500 0.500 0.000
0.000 0.500 0.500
0.063 0.799 0.500
0.201 0.063 0.500
0.299 0.563 0.500
0.437 0.299 0.500
0.500 0.000 0.500
0.563 0.701 0.500
0.701 0.437 0.500
0.799 0.937 0.500
0.937 0.201 0.500
0.127 0.627 0.000
0.373 0.127 0.000
0.627 0.873 0.000
0.873 0.373 0.000